Density functional theory data (PBE) for a relaxed structure of OsRhC2.

a b c (Å): 4.584 4.584 5.692
angles (deg): 66.25 66.25 90.00
Fractional coordinates of all 8 atoms:
Rh 0.500 0.500 0.000
Rh 0.250 0.750 0.500
C 0.641 0.125 0.250
C 0.109 0.625 0.250
C 0.375 0.359 0.750
C 0.875 0.891 0.750
Os 0.000 0.000 0.000
Os 0.750 0.250 0.500

Properties
excess energy over the best structure of this formula in the dataset: 0.000 eV/atom
ΔH_f (0 K): 2.26 eV per formula unit
crystal system: tetragonal

***

Density functional theory data (PBE) for a relaxed structure of CsRbTl2Cd.

a b c (Å): 5.929 5.929 6.786
angles (deg): 90.00 90.00 90.00
Fractional coordinates of all 5 atoms:
Cs 0.500 0.500 0.500
Tl 0.000 0.500 0.000
Tl 0.500 0.000 0.000
Rb 0.000 0.000 0.500
Cd 0.000 0.000 0.000

Properties
ΔH_f (0 K): 0.46 eV per formula unit
crystal system: tetragonal

***

Density functional theory data (PBE) for a relaxed structure of Li3In3Ag2.

a b c (Å): 3.602 4.609 9.515
angles (deg): 76.62 79.05 89.98
Fractional coordinates of all 8 atoms:
Li 0.870 0.369 0.260
Li 0.130 0.631 0.740
Li 0.000 0.000 0.000
In 0.373 0.871 0.256
In 0.500 0.500 0.000
In 0.627 0.129 0.744
Ag 0.747 0.746 0.507
Ag 0.253 0.254 0.493

Properties
excess energy over the best structure of this formula in the dataset: 0.000 eV/atom
ΔH_f (0 K): -1.80 eV per formula unit
crystal system: monoclinic

***

Density functional theory data (PBE) for a relaxed structure of Pr6Y2HoEr.

a b c (Å): 9.642 9.032 9.032
angles (deg): 117.29 93.58 93.58
Fractional coordinates of all 20 atoms:
Pr 0.056 0.115 0.765
Pr 0.444 0.235 0.885
Pr 0.944 0.885 0.235
Pr 0.556 0.765 0.115
Pr 0.310 0.993 0.436
Pr 0.190 0.564 0.007
Pr 0.690 0.007 0.564
Pr 0.810 0.436 0.993
Pr 0.116 0.706 0.485
Pr 0.384 0.515 0.294
Pr 0.884 0.294 0.515
Pr 0.616 0.485 0.706
Y 0.452 0.799 0.706
Y 0.048 0.294 0.201
Y 0.548 0.201 0.294
Y 0.952 0.706 0.799
Ho 0.250 0.412 0.588
Ho 0.750 0.588 0.412
Er 0.250 0.969 0.031
Er 0.750 0.031 0.969

Properties
ΔH_f (0 K): 1.17 eV per formula unit
crystal system: monoclinic

***

no.,energy (eV/cell)
1,-69.5
2,-7.0
3,-21.5
4,-99.2